# NiAg5F8 PBE+U optimized geometry
# Raw total energy: -94.8 eV per cell
# Size of the total moment: 5.63 μB/cell
data_NiAg5F8
_chemical_formula_sum 'Ni2 Ag10 F16'
_cell_length_a 8.1109
_cell_length_b 8.1109
_cell_length_c 7.2155
_cell_angle_alpha 90.00
_cell_angle_beta 90.00
_cell_angle_gamma 90.00
_symmetry_space_group_name_H-M 'I -4'
_symmetry_Int_Tables_number 82
_symmetry_space_group_name_Hall 'I -4'
loop_
_atom_site_label
_atom_site_type_symbol
_atom_site_fract_x
_atom_site_fract_y
_atom_site_fract_z
Ni1 Ni 0.0000 0.0000 0.0000
Ag1 Ag 0.0000 0.5000 0.2500
Ag2 Ag 0.2034 0.7707 0.6204
F1 F 0.0310 0.7871 0.9026
F2 F 0.0711 0.7682 0.3393